No. 1
First-principles (PBE) data for a relaxed structure of YCrSb2I, as listed in Alexandria.

DOS at the Fermi energy (states/eV per atom): 0.663
Density (kg/m3): 4196
Formation energy from raw total energies (eV/atom): 0.48

a = 5.8596 Å, b = 5.8596 Å, c = 5.8930 Å
α = 90.00°, β = 90.00°, γ = 90.00°
With the nearest neighbours (Å) after each atom.
Element x y z (fractional)
Y 0.0000 0.0000 0.0000  4 Sb 2.93, 2 I 2.95
Cr 0.5000 0.5000 0.5000  4 I 4.14, 8 Sb 4.16
Sb 0.0000 0.5000 0.0000  2 Y 2.93
Sb 0.5000 0.0000 0.0000  2 Y 2.93
I 0.0000 0.0000 0.5000  2 Y 2.95

No. 2
First-principles (PBE) data for a relaxed structure of YCrSb2I, as listed in Alexandria.

DOS at the Fermi energy (states/eV per atom): 0.865
Density (kg/m3): 5802
Formation energy from raw total energies (eV/atom): 0.10

a = 5.1573 Å, b = 5.1573 Å, c = 5.5019 Å
α = 90.00°, β = 90.00°, γ = 90.00°
With the nearest neighbours (Å) after each atom.
Element x y z (fractional)
Y 0.0000 0.0000 0.0000  4 I 3.65, 8 Sb 3.77
Cr 0.5000 0.5000 0.5000  4 Sb 2.58, 2 I 2.75
Sb 0.0000 0.5000 0.5000  2 Cr 2.58
Sb 0.5000 0.0000 0.5000  2 Cr 2.58
I 0.5000 0.5000 0.0000  2 Cr 2.75

No. 3
First-principles (PBE) data for a relaxed structure of ZnCrSb2I, as listed in Alexandria.

DOS at the Fermi energy (states/eV per atom): 0.517
Density (kg/m3): 5492
Formation energy from raw total energies (eV/atom): 0.46

a = 5.0041 Å, b = 5.0041 Å, c = 5.8899 Å
α = 90.00°, β = 90.00°, γ = 90.00°
With the nearest neighbours (Å) after each atom.
Element x y z (fractional)
Zn 0.0000 0.0000 0.0000  4 I 3.54, 8 Sb 3.86
Cr 0.5000 0.5000 0.5000  4 Sb 2.50
Sb 0.0000 0.5000 0.5000  2 Cr 2.50
Sb 0.5000 0.0000 0.5000  2 Cr 2.50
I 0.5000 0.5000 0.0000  2 Cr 2.94

No. 4
First-principles (PBE) data for a relaxed structure of ZrCrSbI2, as listed in Alexandria.

DOS at the Fermi energy (states/eV per atom): 0.975
Density (kg/m3): 4670
Formation energy from raw total energies (eV/atom): 0.37

a = 5.6597 Å, b = 5.6597 Å, c = 5.7589 Å
α = 90.00°, β = 90.00°, γ = 90.00°
With the nearest neighbours (Å) after each atom.
Element x y z (fractional)
Zr 0.0000 0.0000 0.0000  4 I 2.83, 2 Sb 2.88
Cr 0.5000 0.5000 0.5000  4 Sb 4.00, 8 I 4.04
Sb 0.0000 0.0000 0.5000  2 Zr 2.88
I 0.0000 0.5000 0.0000  2 Zr 2.83
I 0.5000 0.0000 0.0000  2 Zr 2.83

No. 5
First-principles (PBE) data for a relaxed structure of ZrCrSb2I, as listed in Alexandria.

DOS at the Fermi energy (states/eV per atom): 0.932
Density (kg/m3): 4783
Formation energy from raw total energies (eV/atom): 0.54

a = 5.5856 Å, b = 5.5856 Å, c = 5.7154 Å
α = 90.00°, β = 90.00°, γ = 90.00°
With the nearest neighbours (Å) after each atom.
Element x y z (fractional)
Zr 0.0000 0.0000 0.0000  4 Sb 2.79, 2 I 2.86
Cr 0.5000 0.5000 0.5000  4 I 3.95, 8 Sb 4.00
Sb 0.0000 0.5000 0.0000  2 Zr 2.79
Sb 0.5000 0.0000 0.0000  2 Zr 2.79
I 0.0000 0.0000 0.5000  2 Zr 2.86

No. 6
First-principles (PBE) data for a relaxed structure of ZrCrSbI2, as listed in Alexandria.

DOS at the Fermi energy (states/eV per atom): 1.107
Density (kg/m3): 5694
Formation energy from raw total energies (eV/atom): 0.57

a = 5.2992 Å, b = 5.2992 Å, c = 5.3874 Å
α = 90.00°, β = 90.00°, γ = 90.00°
With the nearest neighbours (Å) after each atom.
Element x y z (fractional)
Zr 0.0000 0.0000 0.0000  4 Sb 3.75, 8 I 3.78
Cr 0.5000 0.5000 0.5000  4 I 2.65, 2 Sb 2.69
Sb 0.5000 0.5000 0.0000  2 Cr 2.69
I 0.0000 0.5000 0.5000  2 Cr 2.65
I 0.5000 0.0000 0.5000  2 Cr 2.65

No. 7
First-principles (PBE) data for a relaxed structure of ZrCrSb2I, as listed in Alexandria.

DOS at the Fermi energy (states/eV per atom): 1.192
Density (kg/m3): 6068
Formation energy from raw total energies (eV/atom): 0.59

a = 5.0848 Å, b = 5.0848 Å, c = 5.4364 Å
α = 90.00°, β = 90.00°, γ = 90.00°
With the nearest neighbours (Å) after each atom.
Element x y z (fractional)
Zr 0.0000 0.0000 0.0000  4 I 3.60, 8 Sb 3.72
Cr 0.5000 0.5000 0.5000  4 Sb 2.54, 2 I 2.72
Sb 0.0000 0.5000 0.5000  2 Cr 2.54
Sb 0.5000 0.0000 0.5000  2 Cr 2.54
I 0.5000 0.5000 0.0000  2 Cr 2.72

No. 8
First-principles (PBE) data for a relaxed structure of Sc2CrI, as listed in Alexandria.

DOS at the Fermi energy (states/eV per atom): 1.001
Density (kg/m3): 5543
Formation energy from raw total energies (eV/atom): 0.47

a = 4.8471 Å, b = 4.8471 Å, c = 4.8471 Å
α = 60.00°, β = 60.00°, γ = 60.00°
With the nearest neighbours (Å) after each atom.
Element x y z (fractional)
Sc 0.2500 0.2500 0.2500  4 I 2.97, 4 Cr 2.97
Sc 0.7500 0.7500 0.7500  4 Cr 2.97, 4 I 2.97
Cr 0.0000 0.0000 0.0000  8 Sc 2.97
I 0.5000 0.5000 0.5000  8 Sc 2.97

No. 9
First-principles (PBE) data for a relaxed structure of Sc2CrI, as listed in Alexandria.

DOS at the Fermi energy (states/eV per atom): 1.064
Density (kg/m3): 4370
Formation energy from raw total energies (eV/atom): 0.33

a = 9.3636 Å, b = 9.3636 Å, c = 9.3636 Å
α = 22.13°, β = 22.13°, γ = 22.13°
With the nearest neighbours (Å) after each atom.
Element x y z (fractional)
Sc 0.1050 0.1050 0.1050  3 Cr 2.68, 1 I 2.88
Sc 0.8950 0.8950 0.8950  3 Cr 2.68, 1 I 2.88
Cr 0.5000 0.5000 0.5000  6 Sc 2.68
I 0.0000 0.0000 0.0000  2 Sc 2.88

No. 10
First-principles (PBE) data for a relaxed structure of Sc2CrI, as listed in Alexandria.

DOS at the Fermi energy (states/eV per atom): 1.056
Density (kg/m3): 4667
Formation energy from raw total energies (eV/atom): 0.38

a = 6.3424 Å, b = 6.3424 Å, c = 6.3424 Å
α = 104.46°, β = 104.46°, γ = 120.04°
With the nearest neighbours (Å) after each atom.
Element x y z (fractional)
Sc 0.1163 0.1250 0.4913  2 Cr 2.81, 2 I 2.91
Sc 0.3750 0.8837 0.0087  2 Cr 2.81, 2 I 2.91
Sc 0.6337 0.6250 0.5087  2 Cr 2.81, 2 I 2.91
Sc 0.8750 0.3663 0.9913  2 Cr 2.81, 2 I 2.91
Cr 0.0000 0.0000 0.0000  4 Sc 2.81
Cr 0.7500 0.2500 0.5000  4 Sc 2.81
I 0.2500 0.7500 0.5000  4 Sc 2.91, 2 Cr 3.17
I 0.5000 0.5000 0.0000  4 Sc 2.91, 2 Cr 3.17

No. 11
First-principles (PBE) data for a relaxed structure of ScCr3I, as listed in Alexandria.

DOS at the Fermi energy (states/eV per atom): 1.652
Density (kg/m3): 4712
Formation energy from raw total energies (eV/atom): 1.39

a = 4.8705 Å, b = 4.8705 Å, c = 4.8705 Å
α = 90.00°, β = 90.00°, γ = 90.00°
With the nearest neighbours (Å) after each atom.
Element x y z (fractional)
Sc 0.0000 0.0000 0.0000  12 Cr 3.44
Cr 0.0000 0.5000 0.5000  2 I 2.44
Cr 0.5000 0.0000 0.5000  2 I 2.44
Cr 0.5000 0.5000 0.0000  2 I 2.44
I 0.5000 0.5000 0.5000  6 Cr 2.44

No. 12
First-principles (PBE) data for a relaxed structure of ScCr3I, as listed in Alexandria.

DOS at the Fermi energy (states/eV per atom): 4.627
Density (kg/m3): 5795
Formation energy from raw total energies (eV/atom): 2.14

a = 4.5460 Å, b = 4.5460 Å, c = 4.5460 Å
α = 90.00°, β = 90.00°, γ = 90.00°
With the nearest neighbours (Å) after each atom.
Element x y z (fractional)
Sc 0.0000 0.0000 0.0000  6 Cr 2.27
Cr 0.0000 0.0000 0.5000  2 Sc 2.27
Cr 0.0000 0.5000 0.0000  2 Sc 2.27
Cr 0.5000 0.0000 0.0000  2 Sc 2.27
I 0.5000 0.5000 0.5000  12 Cr 3.21

No. 13
First-principles (PBE) data for a relaxed structure of Sc2CrSnI, as listed in Alexandria.

DOS at the Fermi energy (states/eV per atom): 0.633
Density (kg/m3): 4001
Formation energy from raw total energies (eV/atom): 0.90

a = 5.2535 Å, b = 5.2535 Å, c = 5.8269 Å
α = 90.00°, β = 90.00°, γ = 90.00°
With the nearest neighbours (Å) after each atom.
Element x y z (fractional)
Sc 0.0000 0.5000 0.0000  2 I 2.63
Sc 0.5000 0.0000 0.0000  2 I 2.63
Cr 0.0000 0.0000 0.5000  4 Sn 3.71, 8 Sc 3.92
Sn 0.5000 0.5000 0.5000  2 I 2.91
I 0.5000 0.5000 0.0000  4 Sc 2.63, 2 Sn 2.91

No. 14
First-principles (PBE) data for a relaxed structure of ScCrTe2I, as listed in Alexandria.

DOS at the Fermi energy (states/eV per atom): 1.051
Density (kg/m3): 4500
Formation energy from raw total energies (eV/atom): 0.02

a = 5.5778 Å, b = 5.5778 Å, c = 5.6814 Å
α = 90.00°, β = 90.00°, γ = 90.00°
With the nearest neighbours (Å) after each atom.
Element x y z (fractional)
Sc 0.0000 0.0000 0.0000  4 Te 2.79, 2 I 2.84
Cr 0.5000 0.5000 0.5000  4 I 3.94, 8 Te 3.98
Te 0.0000 0.5000 0.0000  2 Sc 2.79
Te 0.5000 0.0000 0.0000  2 Sc 2.79
I 0.0000 0.0000 0.5000  2 Sc 2.84